(1)
VASP calculation (PBE) on a geometry-optimized HfPd2Pt structure.

The structure in POSCAR format:
```
HfPd2Pt
1.0
3.804 0.000 -1.255
-0.531 3.629 -1.610
-0.480 -0.091 4.937
Pd Pt Hf
2 1 1
direct
0.750 0.250 0.500
0.250 0.750 0.500
0.000 0.000 0.000
0.500 0.500 0.000
```

Values from the calculation:
DFT total energy in eV/atom: -7.4848

(2)
VASP calculation (PBE) on a geometry-optimized HfPdPt3 structure.

The structure in POSCAR format:
```
HfPdPt3
1.0
4.847 0.000 0.000
0.000 6.627 -0.001
0.000 -3.313 5.740
Pt Pd Hf
6 2 2
direct
0.750 0.202 0.798
0.750 0.597 0.798
0.250 0.798 0.202
0.250 0.403 0.202
0.250 0.798 0.597
0.750 0.202 0.403
0.000 0.000 0.000
0.500 0.000 0.000
0.750 0.666 0.334
0.250 0.334 0.666
```

Values from the calculation:
DFT total energy in eV/atom: -6.8936

(3)
VASP calculation (PBE) on a geometry-optimized HfPdPt3 structure.

The structure in POSCAR format:
```
HfPdPt3
1.0
4.768 0.000 0.000
0.000 4.768 0.000
0.000 0.000 4.768
Pt Hf Pd
3 1 1
direct
0.000 0.000 0.500
0.000 0.500 0.000
0.500 0.000 0.000
0.500 0.500 0.500
0.000 0.000 0.000
```

Values from the calculation:
DFT total energy in eV/atom: -5.7426

(4)
VASP calculation (PBE) on a geometry-optimized HfPd6Pt3 structure.

The structure in POSCAR format:
```
HfPd6Pt3
1.0
-3.270 -2.080 2.250
-2.173 -5.016 -7.794
6.383 -3.398 6.135
Pt Hf Pd
6 2 12
direct
0.250 0.151 0.652
0.750 0.997 0.171
0.250 0.003 0.829
0.750 0.849 0.348
0.750 0.503 0.658
0.250 0.497 0.342
0.750 0.668 0.000
0.250 0.332 0.000
0.250 0.832 0.510
0.750 0.168 0.490
0.250 0.678 0.179
0.750 0.162 0.005
0.250 0.170 0.180
0.750 0.501 0.174
0.250 0.499 0.826
0.250 0.334 0.499
0.750 0.666 0.501
0.250 0.838 0.995
0.750 0.830 0.820
0.750 0.322 0.821
```

Values from the calculation:
DFT total energy in eV/atom: -6.0744

(5)
VASP calculation (PBE) on a geometry-optimized Hf6PdPt structure.

The structure in POSCAR format:
```
Hf6PdPt
1.0
-1.515 4.852 -3.325
-5.355 2.743 0.815
-0.429 4.647 4.163
Hf Pd Pt
6 1 1
direct
0.749 0.749 0.000
0.750 0.039 0.426
0.250 0.961 0.574
0.251 0.251 0.000
0.750 0.465 0.574
0.250 0.535 0.426
0.000 0.000 0.000
0.500 0.500 0.000
```

Values from the calculation:
DFT total energy in eV/atom: -8.8663

(6)
VASP calculation (PBE) on a geometry-optimized HfPd5Pt4 structure.

The structure in POSCAR format:
```
HfPd5Pt4
1.0
4.769 0.000 0.000
0.000 8.103 0.000
0.000 0.000 8.920
Pt Pd Hf
8 10 2
direct
0.454 0.240 0.500
0.704 0.000 0.285
0.296 0.500 0.785
0.546 0.260 0.000
0.546 0.740 0.000
0.296 0.500 0.215
0.454 0.760 0.500
0.704 0.000 0.715
0.226 0.164 0.221
0.081 0.000 0.500
0.226 0.836 0.779
0.774 0.336 0.721
0.774 0.664 0.721
0.774 0.664 0.279
0.919 0.500 0.000
0.226 0.164 0.779
0.774 0.336 0.279
0.226 0.836 0.221
0.122 0.500 0.500
0.878 0.000 0.000
```

Values from the calculation:
DFT total energy in eV/atom: -6.1629